#w
InW2Se | PBE-GGA | relaxed

Output
crystal system = tetragonal
Fermi-level density of states = 10.5 states/eV per cell
symmetry = I-42d

a = 4.0661 Å, b = 4.0661 Å, c = 19.0566 Å
α = 90.00°, β = 90.00°, γ = 90.00°
Closest atoms and distances in Å follow each position.
Fractional positions:
1 In 0.0000 0.0000 0.0000  4 W 2.86, 4 Se 2.88
2 In 0.0000 0.5000 0.2500  4 W 2.86, 4 Se 2.88
3 In 0.5000 0.0000 0.7500  4 W 2.86, 4 Se 2.88
4 In 0.5000 0.5000 0.5000  4 W 2.86, 4 Se 2.88
5 W 0.1995 0.2500 0.6250  2 W 2.60, 2 Se 2.71, 2 In 2.86
6 W 0.2500 0.6995 0.8750  2 W 2.60, 2 Se 2.71, 2 In 2.86
7 W 0.2500 0.8005 0.3750  2 W 2.60, 2 Se 2.71, 2 In 2.86
8 W 0.3005 0.2500 0.1250  2 W 2.60, 2 Se 2.71, 2 In 2.86
9 W 0.6995 0.7500 0.1250  2 W 2.60, 2 Se 2.71, 2 In 2.86
10 W 0.7500 0.1995 0.3750  2 W 2.60, 2 Se 2.71, 2 In 2.86
11 W 0.7500 0.3005 0.8750  2 W 2.60, 2 Se 2.71, 2 In 2.86
12 W 0.8005 0.7500 0.6250  2 W 2.60, 2 Se 2.71, 2 In 2.86
13 Se 0.0000 0.0000 0.5000  4 W 2.71, 4 In 2.88
14 Se 0.0000 0.5000 0.7500  4 W 2.71, 4 In 2.88
15 Se 0.5000 0.0000 0.2500  4 W 2.71, 4 In 2.88
16 Se 0.5000 0.5000 0.0000  4 W 2.71, 4 In 2.88

***

#x
InW2Se | PBE-GGA | relaxed

Output
crystal system = orthorhombic
Fermi-level density of states = 7.9 states/eV per cell
symmetry = Immm

a = 3.0080 Å, b = 5.1341 Å, c = 9.3086 Å
α = 90.00°, β = 90.00°, γ = 90.00°
Closest atoms and distances in Å follow each position.
Fractional positions:
1 In 0.0000 0.0000 0.0000  4 Se 2.98, 8 W 3.01-3.29, 2 In 3.01
2 In 0.5000 0.5000 0.5000  4 Se 2.98, 8 W 3.01-3.29, 2 In 3.01
3 W 0.0000 0.5000 0.2203  2 Se 2.54
4 W 0.0000 0.5000 0.7797  2 Se 2.54
5 W 0.5000 0.0000 0.2797  2 Se 2.54
6 W 0.5000 0.0000 0.7203  2 Se 2.54
7 Se 0.0000 0.0000 0.5000  4 W 2.54
8 Se 0.5000 0.5000 0.0000  4 W 2.54

***

Most stable to least stable, the ends of the list are #x and #w.

***

#w
SbOs2Se | PBE-GGA | relaxed

Output
crystal system = monoclinic
Fermi-level density of states = 4.0 states/eV per cell
symmetry = C2/m

a = 8.3537 Å, b = 3.0742 Å, c = 5.3771 Å
α = 90.00°, β = 102.61°, γ = 90.00°
Closest atoms and distances in Å follow each position.
Fractional positions:
1 Sb 0.0000 0.0000 0.0000  6 Os 2.76-2.80, 2 Sb 3.07
2 Sb 0.5000 0.5000 0.0000  6 Os 2.76-2.80, 2 Sb 3.07
3 Os 0.2482 0.0000 0.7239  3 Se 2.64-2.65, 3 Sb 2.76-2.80, 2 Os 2.86
4 Os 0.2518 0.5000 0.2761  3 Se 2.64-2.65, 3 Sb 2.76-2.80, 2 Os 2.86
5 Os 0.7482 0.5000 0.7239  3 Se 2.64-2.65, 3 Sb 2.76-2.80, 2 Os 2.86
6 Os 0.7518 0.0000 0.2761  3 Se 2.64-2.65, 3 Sb 2.76-2.80, 2 Os 2.86
7 Se 0.0000 0.5000 0.5000  6 Os 2.64-2.65
8 Se 0.5000 0.0000 0.5000  6 Os 2.64-2.65

***

#x
SbOs2Se | PBE-GGA | relaxed

Output
crystal system = orthorhombic
Fermi-level density of states = 10.5 states/eV per cell
symmetry = Cmmm

a = 3.0291 Å, b = 5.3325 Å, c = 8.7188 Å
α = 90.00°, β = 90.00°, γ = 90.00°
Closest atoms and distances in Å follow each position.
Fractional positions:
1 Sb 0.0000 0.0000 0.0000  4 Os 2.66
2 Sb 0.5000 0.5000 0.0000  4 Os 2.66
3 Os 0.0000 0.5000 0.2513  2 Se 2.64, 2 Sb 2.66
4 Os 0.0000 0.5000 0.7487  2 Se 2.64, 2 Sb 2.66
5 Os 0.5000 0.0000 0.2513  2 Se 2.64, 2 Sb 2.66
6 Os 0.5000 0.0000 0.7487  2 Se 2.64, 2 Sb 2.66
7 Se 0.0000 0.0000 0.5000  4 Os 2.64
8 Se 0.5000 0.5000 0.5000  4 Os 2.64

***

Most stable to least stable, the ends of the list are #w and #x.

***

#w
BN | PBE-GGA | relaxed

Output
crystal system = cubic
Fermi-level density of states = 0.0 states/eV per cell
symmetry = I-43m

a = 4.9086 Å, b = 4.9086 Å, c = 4.9086 Å
α = 90.00°, β = 90.00°, γ = 90.00°
Closest atoms and distances in Å follow each position.
Fractional positions:
1 B 0.1573 0.1573 0.1573  4 N 1.48-1.60
2 B 0.1573 0.8427 0.8427  4 N 1.48-1.60
3 B 0.3427 0.3427 0.6573  4 N 1.48-1.60
4 B 0.3427 0.6573 0.3427  4 N 1.48-1.60
5 B 0.6573 0.3427 0.3427  4 N 1.48-1.60
6 B 0.6573 0.6573 0.6573  4 N 1.48-1.60
7 B 0.8427 0.1573 0.8427  4 N 1.48-1.60
8 B 0.8427 0.8427 0.1573  4 N 1.48-1.60
9 N 0.1690 0.1690 0.8310  4 B 1.48-1.60
10 N 0.1690 0.8310 0.1690  4 B 1.48-1.60
11 N 0.3310 0.3310 0.3310  4 B 1.48-1.60
12 N 0.3310 0.6690 0.6690  4 B 1.48-1.60
13 N 0.6690 0.3310 0.6690  4 B 1.48-1.60
14 N 0.6690 0.6690 0.3310  4 B 1.48-1.60
15 N 0.8310 0.1690 0.1690  4 B 1.48-1.60
16 N 0.8310 0.8310 0.8310  4 B 1.48-1.60

***

#x
BN | PBE-GGA | relaxed

Output
crystal system = monoclinic
Fermi-level density of states = 0.0 states/eV per cell
symmetry = Cc

a = 3.2876 Å, b = 9.4311 Å, c = 4.3486 Å
α = 90.00°, β = 105.92°, γ = 90.00°
Closest atoms and distances in Å follow each position.
Fractional positions:
1 B 0.0000 0.0660 0.0000  3 N 1.45-1.47
2 B 0.0000 0.9340 0.5000  3 N 1.45-1.47
3 B 0.1298 0.1936 0.5084  3 N 1.44-1.49
4 B 0.1298 0.8064 0.0084  3 N 1.44-1.49
5 B 0.5000 0.4340 0.5000  3 N 1.45-1.47
6 B 0.5000 0.5660 0.0000  3 N 1.45-1.47
7 B 0.6298 0.3064 0.0084  3 N 1.44-1.49
8 B 0.6298 0.6936 0.5084  3 N 1.44-1.49
9 N 0.0546 0.0659 0.6791  3 B 1.45-1.47
10 N 0.0546 0.9341 0.1791  3 B 1.45-1.47
11 N 0.4184 0.3037 0.6594  3 B 1.44-1.49
12 N 0.4184 0.6963 0.1594  3 B 1.44-1.49
13 N 0.5546 0.4341 0.1791  3 B 1.45-1.47
14 N 0.5546 0.5659 0.6791  3 B 1.45-1.47
15 N 0.9184 0.1963 0.1594  3 B 1.44-1.49
16 N 0.9184 0.8037 0.6594  3 B 1.44-1.49

***

Most stable to least stable, the ends of the list are #x and #w.

***

#w
RbGa3Tc | PBE-GGA | relaxed

Output
crystal system = triclinic
Fermi-level density of states = 8.2 states/eV per cell
symmetry = P1

a = 4.8087 Å, b = 5.0098 Å, c = 13.5881 Å
α = 87.28°, β = 81.62°, γ = 63.60°
Closest atoms and distances in Å follow each position.
Fractional positions:
1 Rb 0.0000 0.0000 0.0000  4 Ga 3.48-3.84
2 Rb 0.2944 0.4632 0.3177  4 Ga 3.49-3.85
3 Ga 0.0925 0.4825 0.8193  2 Tc 2.62, 3 Ga 2.64-2.68
4 Ga 0.1453 0.9752 0.6981  5 Ga 2.65-2.72, 4 Tc 2.65-2.91
5 Ga 0.1801 0.4705 0.6199  5 Ga 2.65-2.72, 4 Tc 2.65-2.91
6 Ga 0.2341 0.9637 0.4987  2 Tc 2.62, 3 Ga 2.64-2.68
7 Ga 0.6090 0.9800 0.7804  3 Tc 2.56-2.75, 4 Ga 2.64-2.65
8 Ga 0.7163 0.4654 0.5371  3 Tc 2.56-2.75, 4 Ga 2.64-2.65
9 Tc 0.6265 0.4777 0.7413  7 Ga 2.56-2.75
10 Tc 0.6997 0.9678 0.5760  7 Ga 2.56-2.75

***

#x
RbGa3Tc | PBE-GGA | relaxed

Output
crystal system = monoclinic
Fermi-level density of states = 4.2 states/eV per cell
symmetry = P2_1/m

a = 4.6925 Å, b = 6.2578 Å, c = 9.0687 Å
α = 90.00°, β = 91.25°, γ = 90.00°
Closest atoms and distances in Å follow each position.
Fractional positions:
1 Rb 0.1040 0.2500 0.1425  6 Ga 3.48-3.80
2 Rb 0.8960 0.7500 0.8575  6 Ga 3.48-3.80
3 Ga 0.3151 0.0386 0.5957  2 Tc 2.49-2.61, 3 Ga 2.53-2.69
4 Ga 0.3151 0.4614 0.5957  2 Tc 2.49-2.61, 3 Ga 2.53-2.69
5 Ga 0.4197 0.7500 0.1826  1 Tc 2.51, 2 Ga 2.69
6 Ga 0.5803 0.2500 0.8174  1 Tc 2.51, 2 Ga 2.69
7 Ga 0.6849 0.5386 0.4043  2 Tc 2.49-2.61, 3 Ga 2.53-2.69
8 Ga 0.6849 0.9614 0.4043  2 Tc 2.49-2.61, 3 Ga 2.53-2.69
9 Tc 0.1632 0.7500 0.4226  5 Ga 2.49-2.61
10 Tc 0.8368 0.2500 0.5774  5 Ga 2.49-2.61

***

Most stable to least stable, the ends of the list are #w and #x.

***

#w
Cr2CuMo | PBE-GGA | relaxed

Output
crystal system = orthorhombic
Fermi-level density of states = 4.1 states/eV per cell
symmetry = Pmmm

a = 2.4531 Å, b = 4.0144 Å, c = 5.3005 Å
α = 90.00°, β = 90.00°, γ = 90.00°
Closest atoms and distances in Å follow each position.
Fractional positions:
1 Cr 0.0000 0.0000 0.2266  3 Cr 2.40-2.45, 4 Cu 2.64
2 Cr 0.0000 0.0000 0.7734  3 Cr 2.40-2.45, 4 Cu 2.64
3 Cu 0.5000 0.5000 0.0000  2 Cu 2.45, 8 Cr 2.64, 2 Mo 2.65
4 Mo 0.5000 0.5000 0.5000  2 Mo 2.45, 2 Cu 2.65

***

#x
Cr2CuMo | PBE-GGA | relaxed

Output
crystal system = monoclinic
Fermi-level density of states = 6.7 states/eV per cell
symmetry = Cm

a = 8.7188 Å, b = 2.4871 Å, c = 4.8310 Å
α = 90.00°, β = 95.58°, γ = 90.00°
Closest atoms and distances in Å follow each position.
Fractional positions:
1 Cr 0.0000 0.0000 0.0000  5 Cr 2.49-2.70, 3 Mo 2.59-2.76, 2 Cu 2.64
2 Cr 0.2470 0.0000 0.7580  5 Cr 2.49-2.70, 3 Cu 2.62-2.63, 4 Mo 2.70-2.74
3 Cr 0.5000 0.5000 0.0000  5 Cr 2.49-2.70, 3 Mo 2.59-2.76, 2 Cu 2.64
4 Cr 0.7470 0.5000 0.7580  5 Cr 2.49-2.70, 3 Cu 2.62-2.63, 4 Mo 2.70-2.74
5 Cu 0.0037 0.5000 0.5192  2 Cu 2.49, 5 Cr 2.62-2.64, 3 Mo 2.62-2.69
6 Cu 0.5037 0.0000 0.5192  2 Cu 2.49, 5 Cr 2.62-2.64, 3 Mo 2.62-2.69
7 Mo 0.2557 0.5000 0.2648  2 Mo 2.49, 7 Cr 2.59-2.76, 3 Cu 2.62-2.69
8 Mo 0.7557 0.0000 0.2648  2 Mo 2.49, 7 Cr 2.59-2.76, 3 Cu 2.62-2.69

***

Most stable to least stable, the ends of the list are #w and #x.

***

#w
CaZrHg | PBE-GGA | relaxed

Output
crystal system = cubic
Fermi-level density of states = 7.2 states/eV per cell
symmetry = F-43m

a = 7.0315 Å, b = 7.0315 Å, c = 7.0315 Å
α = 90.00°, β = 90.00°, γ = 90.00°
Closest atoms and distances in Å follow each position.
Fractional positions:
1 Ca 0.0000 0.0000 0.0000  4 Hg 3.04
2 Ca 0.0000 0.5000 0.5000  4 Hg 3.04
3 Ca 0.5000 0.0000 0.5000  4 Hg 3.04
4 Ca 0.5000 0.5000 0.0000  4 Hg 3.04
5 Zr 0.0000 0.0000 0.5000  4 Hg 3.04
6 Zr 0.0000 0.5000 0.0000  4 Hg 3.04
7 Zr 0.5000 0.0000 0.0000  4 Hg 3.04
8 Zr 0.5000 0.5000 0.5000  4 Hg 3.04
9 Hg 0.2500 0.2500 0.2500  4 Zr 3.04, 4 Ca 3.04
10 Hg 0.2500 0.7500 0.7500  4 Zr 3.04, 4 Ca 3.04
11 Hg 0.7500 0.2500 0.7500  4 Zr 3.04, 4 Ca 3.04
12 Hg 0.7500 0.7500 0.2500  4 Zr 3.04, 4 Ca 3.04

***

#x
CaZrHg | PBE-GGA | relaxed

Output
crystal system = orthorhombic
Fermi-level density of states = 15.6 states/eV per cell
symmetry = Amm2

a = 13.4327 Å, b = 4.8292 Å, c = 4.8092 Å
α = 90.00°, β = 90.00°, γ = 90.00°
Closest atoms and distances in Å follow each position.
Fractional positions:
1 Ca 0.1633 0.0000 0.0000  4 Hg 3.25-3.26, 4 Ca 3.41, 4 Zr 3.55-3.56
2 Ca 0.1633 0.5000 0.5000  4 Hg 3.25-3.26, 4 Ca 3.41, 4 Zr 3.55-3.56
3 Ca 0.8367 0.0000 0.0000  4 Hg 3.25-3.26, 4 Ca 3.41, 4 Zr 3.55-3.56
4 Ca 0.8367 0.5000 0.5000  4 Hg 3.25-3.26, 4 Ca 3.41, 4 Zr 3.55-3.56
5 Zr 0.3579 0.0000 0.5006  4 Hg 3.07-3.08, 4 Zr 3.41
6 Zr 0.3579 0.5000 0.0006  4 Hg 3.07-3.08, 4 Zr 3.41
7 Zr 0.6421 0.0000 0.5006  4 Hg 3.07-3.08, 4 Zr 3.41
8 Zr 0.6421 0.5000 0.0006  4 Hg 3.07-3.08, 4 Zr 3.41
9 Hg 0.0000 0.0000 0.4997  8 Ca 3.25-3.26, 4 Hg 3.41
10 Hg 0.0000 0.5000 0.9997  8 Ca 3.25-3.26, 4 Hg 3.41
11 Hg 0.5000 0.0000 0.0009  8 Zr 3.07-3.08, 4 Hg 3.41
12 Hg 0.5000 0.5000 0.5009  8 Zr 3.07-3.08, 4 Hg 3.41

***

Most stable to least stable, the ends of the list are #x and #w.